Record 1
An optimized crystal structure of LuInAu. Source: Alexandria, functional PBE.

abc: 3.961 7.659 7.659
angles: 120.00 90.00 90.00
Atoms (fractional coordinates):
Au: 0.000 0.333 0.667
Au: 0.000 0.667 0.333
Au: 0.500 0.000 0.000
Lu: 0.500 0.000 0.595
Lu: 0.500 0.405 0.405
Lu: 0.500 0.595 0.000
In: 0.000 0.000 0.262
In: 0.000 0.262 0.000
In: 0.000 0.738 0.738

Values from the calculation:
Space-group type: P-62m

---

Record 2
An optimized crystal structure of LuInAu2. Source: Alexandria, functional PBE.

abc: 3.505 3.505 6.996
angles: 90.00 90.00 90.00
Atoms (fractional coordinates):
In: 0.500 0.500 0.500
Au: 0.000 0.000 0.239
Au: 0.000 0.000 0.761
Lu: 0.500 0.500 0.000

Values from the calculation:
Space-group type: P4/mmm

---

Record 3
An optimized crystal structure of LuInAu2. Source: Alexandria, functional PBE.

abc: 4.886 4.886 4.886
angles: 60.00 60.00 60.00
Atoms (fractional coordinates):
Lu: 0.500 0.500 0.500
Au: 0.750 0.750 0.750
Au: 0.250 0.250 0.250
In: 0.000 0.000 0.000

Values from the calculation:
Space-group type: Fm-3m

---

Record 4
An optimized crystal structure of LuMgInAu. Source: Alexandria, functional PBE.

abc: 4.963 4.963 4.963
angles: 60.00 60.00 60.00
Atoms (fractional coordinates):
Lu: 0.750 0.750 0.750
Mg: 0.250 0.250 0.250
Au: 0.000 0.000 0.000
In: 0.500 0.500 0.500

Values from the calculation:
Space-group type: F-43m

---

no.,raw total energy (eV per cell)
1,-37.984
2,-16.219
3,-16.541
4,-14.238